No. 1
The following is a DFT calculation (PBE) of an optimized crystal structure of NaCoNiSe3.

## Properties
DFT total energy: -4.465 eV/atom

The structure in POSCAR format:
```
NaCoNiSe3
1.0
1.787 -6.656 0.000
1.787 6.656 0.000
0.000 0.000 9.532
Na Co Ni Se
2 2 2 6
direct
0.237 0.763 0.750 Na
0.763 0.237 0.250 Na
0.000 0.000 0.000 Co
0.000 0.000 0.500 Co
0.462 0.538 0.250 Ni
0.538 0.462 0.750 Ni
0.074 0.926 0.250 Se
0.379 0.621 0.039 Se
0.379 0.621 0.461 Se
0.621 0.379 0.539 Se
0.621 0.379 0.961 Se
0.926 0.074 0.750 Se
```


No. 2
The following is a DFT calculation (PBE) of an optimized crystal structure of NaCoNiTe3.

## Properties
excess energy over the best structure of this formula in the dataset: 0.005 eV/atom

The structure in POSCAR format:
```
NaCoNiTe3
1.0
1.911 -6.817 0.000
1.911 6.817 0.000
0.000 0.000 10.273
Na Co Ni Te
2 2 2 6
direct
0.232 0.768 0.750 Na
0.768 0.232 0.250 Na
0.000 0.000 0.000 Co
0.000 0.000 0.500 Co
0.451 0.549 0.250 Ni
0.549 0.451 0.750 Ni
0.069 0.931 0.250 Te
0.374 0.626 0.032 Te
0.374 0.626 0.468 Te
0.626 0.374 0.532 Te
0.626 0.374 0.968 Te
0.931 0.069 0.750 Te
```


No. 3
The following is a DFT calculation (PBE) of an optimized crystal structure of NaCoNiTe3.

## Properties
excess energy over the best structure of this formula in the dataset: 0.000 eV/atom

The structure in POSCAR format:
```
NaCoNiTe3
1.0
7.985 0.000 0.000
0.000 3.833 0.000
-3.721 0.000 8.862
Na Co Ni Te
2 2 2 6
direct
0.023 0.250 0.291 Na
0.977 0.750 0.709 Na
0.480 0.750 0.379 Co
0.520 0.250 0.621 Co
0.464 0.250 0.165 Ni
0.536 0.750 0.835 Ni
0.219 0.750 0.130 Te
0.302 0.750 0.546 Te
0.329 0.250 0.869 Te
0.671 0.750 0.131 Te
0.698 0.250 0.454 Te
0.781 0.250 0.870 Te
```


No. 4
The following is a DFT calculation (PBE) of an optimized crystal structure of NaNpCo.

## Properties
excess energy over the best structure of this formula in the dataset: 0.000 eV/atom

The structure in POSCAR format:
```
NaNpCo
1.0
6.518 0.000 0.000
0.000 6.518 0.000
0.000 0.000 6.518
Na Np Co
4 4 4
direct
0.000 0.000 0.000 Na
0.000 0.500 0.500 Na
0.500 0.000 0.500 Na
0.500 0.500 0.000 Na
0.250 0.250 0.250 Np
0.250 0.750 0.750 Np
0.750 0.250 0.750 Np
0.750 0.750 0.250 Np
0.000 0.000 0.500 Co
0.000 0.500 0.000 Co
0.500 0.000 0.000 Co
0.500 0.500 0.500 Co
```